Record 1
# Hf3TiS

Crystalline Hf3TiS at its relaxed geometry (PBE, Alexandria).

```
5
Lattice="4.9204 0.0000 0.0000 0.0000 4.9204 0.0000 0.0000 0.0000 4.9204" Properties=species:S:1:pos:R:3 pbc="T T T"
Hf 0.0000 0.0000 2.4602
Hf 0.0000 2.4602 0.0000
Hf 2.4602 0.0000 0.0000
S 2.4602 2.4602 2.4602
Ti 0.0000 0.0000 0.0000
```

Calculated values
Its formation energy without anion corrections is 0.993 eV/atom. As for the energy above the lowest structure with this stoichiometry: 1.477 eV/atom. The space group is Pm-3m (221).

Record 2
# PuTl2Zn

Crystalline PuTl2Zn at its relaxed geometry (PBE, Alexandria).

```
4
Lattice="-3.2213 -3.3118 0.4117 0.5022 -1.0497 -4.5148 3.3167 -3.0909 1.0876" Properties=species:S:1:pos:R:3 pbc="T T T"
Pu 0.2988 -3.7262 -1.5077
Zn -1.6107 -1.6559 0.2059
Tl 0.2511 -0.5249 -2.2574
Tl 1.6584 -1.5454 0.5438
```

Calculated values
The formation energy comes out at 0.033 eV per atom. The space group is P4/mmm (123).

Record 3
# SrFeAs2

Crystalline SrFeAs2 at its relaxed geometry (PBE, Alexandria).

```
4
Lattice="-0.6469 -4.6076 1.0940 -4.4193 -1.8085 0.2111 -1.4904 -3.0655 -3.3507" Properties=species:S:1:pos:R:3 pbc="T T T"
Sr -3.2783 -4.7408 -1.0228
As -4.9174 -7.1112 -1.5341
As -1.6391 -2.3704 -0.5114
Fe 0.0000 0.0000 0.0000
```

Calculated values
The formation energy comes out at 0.130 eV per atom. The space group is Fm-3m (225).

Record 4
# Co2AgIr

Crystalline Co2AgIr at its relaxed geometry (PBE, Alexandria).

```
4
Lattice="-0.2257 1.3536 -3.3595 2.9490 -2.2731 -1.1140 -2.5198 -2.7994 -0.9586" Properties=species:S:1:pos:R:3 pbc="T T T"
Co 0.0000 0.0000 0.0000
Co 0.2146 -2.5362 -1.0363
Ir 1.3617 -0.4597 -2.2367
Ag -1.3727 -0.7229 -2.1590
```

Calculated values
The formation energy comes out at 0.390 eV per atom. The space group is P4/mmm (123).

Record 5
# NbTeI

Crystalline NbTeI at its relaxed geometry (PBE, Alexandria).

```
6
Lattice="-2.2278 -6.2271 -0.4545 3.3115 -1.1066 -1.0692 0.6295 -5.0178 7.1523" Properties=species:S:1:pos:R:3 pbc="T T T"
Nb 3.2431 -7.1723 6.0260
Nb -0.4257 -5.6063 -0.7314
I 1.9860 -9.3992 4.4375
I 0.8313 -3.3796 0.8571
Te 1.3045 -5.6523 4.6841
Te 1.5127 -7.1267 0.6104
```

Calculated values
Its formation energy without anion corrections is -0.497 eV/atom. As for the energy above the lowest structure with this stoichiometry: 0.000 eV/atom. The space group is P2_1/m (11).

Record 6
# CeNiPb

Crystalline CeNiPb at its relaxed geometry (PBE, Alexandria).

```
3
Lattice="3.3624 0.0000 0.0000 0.0000 3.3624 0.0000 -1.6812 -1.6812 5.9154" Properties=species:S:1:pos:R:3 pbc="T T T"
Ni 0.0000 0.0000 3.2914
Pb 1.6812 1.6812 5.0398
Ce 1.6812 1.6812 1.7250
```

Calculated values
The formation energy comes out at -0.202 eV per atom. The space group is I4mm (107).

no.,final energy (eV/atom),density (Mg/m³)
1,-7.3836,8.58
2,-5.0514,11.83
3,-4.7308,6.31
4,-6.0915,12.66
5,-5.4177,6.12
6,-5.3434,10.08